[1]
Below is crystalline LiTa2Pt at its relaxed geometry, with properties calculated at the PBEsol level.

abc: 4.458 4.458 4.458
angles: 60.00 60.00 60.00
Each line ends with the local moment (μB).
Element x y z (fractional)
Li 0.500 0.500 0.500  0.00
Pt 0.250 0.250 0.250  0.08
Ta 0.000 0.000 0.000  0.14
Ta 0.750 0.750 0.750  0.40

Properties
M_tot, μB/f.u.: 0.81
Crystal system: cubic
Space-group type: No. 216
Total DFT energy (no corrections), eV per atom: -8.426
ΔH_f (0 K), eV per atom: 0.08

[2]
Below is crystalline Tb4Ga12Fe at its relaxed geometry, with properties calculated at the PBEsol level.

abc: 7.321 7.321 7.321
angles: 109.47 109.47 109.47
Each line ends with the local moment (μB).
Element x y z (fractional)
Tb 0.000 0.500 0.000  0.00
Tb 0.000 0.000 0.500  0.00
Tb 0.500 0.500 0.500  0.00
Tb 0.500 0.000 0.000  0.00
Ga 0.250 0.750 0.500  0.00
Ga 0.250 0.500 0.750  0.00
Ga 0.500 0.250 0.750  0.00
Ga 0.750 0.500 0.250  0.00
Ga 0.750 0.250 0.500  0.00
Ga 0.500 0.750 0.250  0.00
Ga 0.284 0.284 0.000  -0.01
Ga 0.716 0.000 0.716  -0.01
Ga 0.000 0.284 0.284  -0.01
Ga 0.716 0.716 0.000  -0.01
Ga 0.284 0.000 0.284  -0.01
Ga 0.000 0.716 0.716  -0.01
Fe 0.000 0.000 0.000  1.28

Properties
M_tot, μB/f.u.: 1.22
Crystal system: cubic
Space-group type: No. 229
Total DFT energy (no corrections), eV per atom: -4.660
ΔH_f (0 K), eV per atom: -0.60

[3]
Below is crystalline AlAsP2Cl at its relaxed geometry, with properties calculated at the PBEsol level.

abc: 4.712 4.712 4.814
angles: 90.00 90.00 90.00
Element x y z (fractional)
P 0.000 0.500 0.000
P 0.500 0.000 0.000
As 0.000 0.000 0.000
Al 0.500 0.500 0.500
Cl 0.000 0.000 0.500

Properties
M_tot, μB/f.u.: 0.00
Crystal system: tetragonal
Space-group type: No. 123
ΔE_f (raw), eV per atom: 0.67
Total DFT energy (no corrections), eV per atom: -3.892